Density functional theory data (GGA-PBEsol) for crystalline YBi at its relaxed geometry.

Cell: 4.411 4.411 4.411 Å, 60.00 60.00 60.00°
Sites, in units of the cell vectors:
Y 0.000 0.000 0.000
Bi 0.500 0.500 0.500

- total moment (μB per atom) = 0.000
- symmetry = No. 225
- total DFT energy (no corrections) (eV per atom) = -6.500
- Fermi-level density of states (states/eV/f.u.) = 0.32

***

Density functional theory data (GGA-PBEsol) for crystalline CdS2I at its relaxed geometry.

Cell: 8.173 8.173 8.173 Å, 27.64 27.64 27.64°
Sites, in units of the cell vectors:
Cd 0.000 0.000 0.000
S 0.392 0.392 0.392
S 0.608 0.608 0.608
I 0.500 0.500 0.500

- total moment (μB per atom) = 0.000
- formation energy (no corrections) (eV/f.u.) = -0.4
- symmetry = No. 166
- total DFT energy (no corrections) (eV per atom) = -3.036
- Fermi-level density of states (states/eV/f.u.) = 1.86

***

Density functional theory data (GGA-PBEsol) for crystalline InSiRu2 at its relaxed geometry.

Cell: 4.320 4.320 3.055 Å, 90.00 90.00 90.00°
Sites, in units of the cell vectors:
In 0.000 0.000 0.000
Si 0.500 0.500 0.000
Ru 0.000 0.500 0.500
Ru 0.500 0.000 0.500

- total moment (μB per atom) = 0.000
- formation energy (no corrections) (eV/f.u.) = -0.6
- symmetry = No. 123
- total DFT energy (no corrections) (eV per atom) = -7.415
- Fermi-level density of states (states/eV/f.u.) = 2.53

***

Density functional theory data (GGA-PBEsol) for crystalline Ca2BeAl at its relaxed geometry.

Cell: 9.436 9.436 9.436 Å, 21.88 21.88 21.88°
Sites, in units of the cell vectors:
Ca 0.244 0.244 0.244
Ca 0.756 0.756 0.756
Be 0.500 0.500 0.500
Al 0.000 0.000 0.000

- total moment (μB per atom) = 0.001
- symmetry = No. 166
- total DFT energy (no corrections) (eV per atom) = -2.676
- Fermi-level density of states (states/eV/f.u.) = 3.93

***

Density functional theory data (GGA-PBEsol) for crystalline BaNaSe2N at its relaxed geometry.

Cell: 6.041 6.041 5.206 Å, 90.00 90.00 90.00°
Sites, in units of the cell vectors:
Ba 0.000 0.000 0.000
Na 0.500 0.500 0.500
Se 0.000 0.500 0.000
Se 0.500 0.000 0.000
N 0.000 0.000 0.500

- total moment (μB per atom) = 0.689
- formation energy (no corrections) (eV/f.u.) = 2.0
- symmetry = No. 123
- total DFT energy (no corrections) (eV per atom) = -3.547
- Fermi-level density of states (states/eV/f.u.) = 5.14

***

Density functional theory data (GGA-PBEsol) for crystalline TcNiIr2 at its relaxed geometry.

Cell: 4.484 4.484 2.692 Å, 90.00 90.00 90.00°
Sites, in units of the cell vectors:
Tc 0.000 0.000 0.000
Ni 0.500 0.500 0.000
Ir 0.000 0.500 0.500
Ir 0.500 0.000 0.500

- total moment (μB per atom) = 0.000
- symmetry = No. 123
- total DFT energy (no corrections) (eV per atom) = -8.982
- Fermi-level density of states (states/eV/f.u.) = 6.56

***

Repeat the sixth record exactly.
Density functional theory data (GGA-PBEsol) for crystalline TcNiIr2 at its relaxed geometry.

Cell: 4.484 4.484 2.692 Å, 90.00 90.00 90.00°
Sites, in units of the cell vectors:
Tc 0.000 0.000 0.000
Ni 0.500 0.500 0.000
Ir 0.000 0.500 0.500
Ir 0.500 0.000 0.500

- total moment (μB per atom) = 0.000
- symmetry = No. 123
- total DFT energy (no corrections) (eV per atom) = -8.982
- Fermi-level density of states (states/eV/f.u.) = 6.56